(A)
Material: KSr2Y
Method: DFT, PBE
State: optimized geometry

## Properties
* Fermi-level density of states: 4.6 states/eV per cell
* total magnetization: 0.98 Bohr magnetons per cell

Cell lengths 3.9619, 3.9619, 12.6549 Å; angles 90.00, 90.00, 90.00 degrees
Space group P4mm (No. 99)
One atom of each set of equivalent atoms:
K1 0.0000 0.0000 0.0000 [1 per cell]
Sr1 0.0000 0.0000 0.5413 [1 per cell]
Sr2 0.5000 0.5000 0.2867 [1 per cell]
Y1 0.5000 0.5000 0.7491 [1 per cell]



(B)
Material: KSr2Y
Method: DFT, PBE
State: optimized geometry

## Properties
* Fermi-level density of states: 12.0 states/eV per cell
* total magnetization: 0.97 Bohr magnetons per cell

Cell lengths 13.2508, 3.9168, 7.6606 Å; angles 90.00, 97.18, 90.00 degrees
Space group C2/m (No. 12)
One atom of each set of equivalent atoms:
K1 0.0000 0.0000 0.0000 [2 per cell]
Sr1 0.2417 0.0000 0.7285 [4 per cell]
Y1 0.0000 0.5000 0.5000 [2 per cell]



(C)
Material: KSr2Y
Method: DFT, PBE
State: optimized geometry

## Properties
* Fermi-level density of states: 24.5 states/eV per cell
* total magnetization: 0.00 Bohr magnetons per cell

Cell lengths 5.3956, 5.3956, 27.3342 Å; angles 90.00, 90.00, 90.00 degrees
Space group I-42d (No. 122)
One atom of each set of equivalent atoms:
K1 0.0000 0.0000 0.0000 [4 per cell]
Sr1 0.2442 0.2500 0.6250 [8 per cell]
Y1 0.0000 0.0000 0.5000 [4 per cell]



Relative energies, in meV per atom, with the most stable structure set to zero: (A) 0; (B) 52; (C) 351.